# HfMn2SbF PBE with a Hubbard U optimized geometry
# D(E_F) in states/eV/cell: 2.8
# Total moment in μB/f.u.: 8.6
# DFT total energy in Ha/atom: -0.229
data_HfMn2SbF
_chemical_formula_sum 'Hf1 Mn2 Sb1 F1'
_space_group_name_H-M_alt 'P 1'
_space_group_IT_number 1
_space_group_name_Hall 'P 1'
_cell_length_a 5.507
_cell_length_b 5.507
_cell_length_c 4.017
_cell_angle_alpha 90.00
_cell_angle_beta 90.00
_cell_angle_gamma 90.00
loop_
_atom_site_label
_atom_site_type_symbol
_atom_site_fract_x
_atom_site_fract_y
_atom_site_fract_z
Hf1 Hf 0.000 0.000 0.000
Mn1 Mn 0.000 0.500 0.000
Mn2 Mn 0.500 0.000 0.000
Sb1 Sb 0.500 0.500 0.500
F1 F 0.000 0.000 0.500